Record 1
Density functional theory data (PBE) for a relaxed NiAgBr6 crystal.

spin magnetization: 2.27 μB/f.u.
symmetry: P-1
calculated total energy: -19.69 eV/cell

Unit cell a=6.492 b=6.511 c=6.856 alpha=91.15 beta=117.08 gamma=119.74
Atoms (fractional coordinates):
1 Ag 0.000 0.000 0.000
2 Br 0.842 0.278 0.734
3 Br 0.832 0.105 0.263
4 Br 0.455 0.568 0.736
5 Br 0.168 0.895 0.737
6 Br 0.158 0.722 0.266
7 Ni 0.000 0.500 0.500
8 Br 0.545 0.432 0.264

Record 2
Density functional theory data (PBE) for a relaxed PrHfCd crystal.

energy of formation from the pure elements: 0.94 eV/atom
spin magnetization: 0.93 μB/f.u.
symmetry: F-43m
polymorph energy (0 for the lowest one): 218 meV per atom
calculated total energy: -12.81 eV/cell

Unit cell a=5.071 b=5.071 c=5.071 alpha=60.00 beta=60.00 gamma=60.00
Atoms (fractional coordinates):
1 Pr 0.000 0.000 0.000
2 Cd 0.250 0.250 0.250
3 Hf 0.750 0.750 0.750

Record 3
Density functional theory data (PBE) for a relaxed DyEr2Mg3Al2Hg crystal.

spin magnetization: 0.00 μB/f.u.
symmetry: Amm2
calculated total energy: -29.37 eV/cell

Unit cell a=4.502 b=7.379 c=7.379 alpha=120.20 beta=90.00 gamma=90.00
Atoms (fractional coordinates):
1 Al 0.500 0.668 0.333
2 Er 0.000 0.000 0.574
3 Hg 0.000 0.999 0.999
4 Mg 0.500 0.756 0.756
5 Mg 0.500 0.244 0.000
6 Mg 0.500 0.000 0.244
7 Dy 0.000 0.427 0.427
8 Er 0.000 0.574 0.000
9 Al 0.500 0.333 0.668

Record 4
Density functional theory data (PBE) for a relaxed GdTmGa2Fe4 crystal.

spin magnetization: 7.24 μB/f.u.
symmetry: P-6m2
calculated total energy: -49.81 eV/cell

Unit cell a=4.186 b=4.186 c=9.267 alpha=90.00 beta=90.00 gamma=120.00
Atoms (fractional coordinates):
1 Gd 0.000 0.000 0.000
2 Fe 0.333 0.667 0.788
3 Ga 0.667 0.333 0.254
4 Fe 0.333 0.667 0.212
5 Fe 0.000 0.000 0.702
6 Ga 0.667 0.333 0.746
7 Fe 0.000 0.000 0.298
8 Tm 0.333 0.667 0.500

Record 5
Density functional theory data (PBE) for a relaxed HoSc2PbC crystal.

spin magnetization: 0.01 μB/f.u.
symmetry: P4/mmm
calculated total energy: -33.27 eV/cell

Unit cell a=4.595 b=4.595 c=4.849 alpha=90.00 beta=90.00 gamma=90.00
Atoms (fractional coordinates):
1 Pb 0.000 0.000 0.000
2 Sc 0.000 0.500 0.500
3 Sc 0.500 0.000 0.500
4 Ho 0.500 0.500 0.000
5 C 0.500 0.500 0.500

Record 6
Density functional theory data (PBE) for a relaxed Nd2LuAl7Ag2 crystal.

spin magnetization: 0.02 μB/f.u.
symmetry: R-3m
calculated total energy: -50.81 eV/cell

Unit cell a=9.479 b=9.479 c=9.479 alpha=34.73 beta=34.73 gamma=34.73
Atoms (fractional coordinates):
1 Nd 0.858 0.858 0.858
2 Al 0.413 0.413 0.925
3 Al 0.413 0.925 0.413
4 Nd 0.142 0.142 0.142
5 Al 0.925 0.413 0.413
6 Al 0.075 0.587 0.587
7 Ag 0.336 0.336 0.336
8 Lu 0.000 0.000 0.000
9 Al 0.500 0.500 0.500
10 Al 0.587 0.587 0.075
11 Al 0.587 0.075 0.587
12 Ag 0.664 0.664 0.664

Q: Which of these has the highest calculated total energy?
A: PrHfCd